Record 1
15
Lattice="7.2274 -4.1725 0.0000 7.2274 4.1725 0.0000 -4.8183 0.0000 7.8091" Properties=species:S:1:pos:R:3 comment="Ce3Tl3FeSe8 PBE-GGA relaxed" e_form_raw_mev_per_atom=-1113 dft_energy_ev_per_atom=-5.20 pbc="T T T"
Ce 0.0000 0.0000 0.0000
Ce 3.6137 2.0862 0.0000
Ce 3.6137 -2.0862 0.0000
Tl 1.2046 2.0862 3.9045
Tl 1.2046 -2.0862 3.9045
Tl 4.8183 0.0000 3.9045
Fe 7.2274 0.0000 0.0000
Se 2.4203 0.0000 1.6563
Se 6.1027 1.9316 1.5085
Se 0.1670 0.0000 6.3037
Se 3.5338 1.9316 6.3005
Se 6.1027 -1.9316 1.5085
Se 9.4695 0.0000 1.5054
Se 3.5338 -1.9316 6.3005
Se 7.2163 0.0000 6.1528

Record 2
8
Lattice="-2.8786 2.8786 4.3945 2.8786 -2.8786 4.3945 2.8786 2.8786 -4.3945" Properties=species:S:1:pos:R:3 comment="Ce2FeSi5 PBE-GGA relaxed" e_form_raw_mev_per_atom=-491 dft_energy_ev_per_atom=-6.42 pbc="T T T"
Ce 2.8786 0.0000 0.0000
Ce 0.0000 2.8786 0.0000
Fe 0.0000 0.0000 2.5579
Si 1.6212 1.6212 2.2451
Si 1.2575 -1.2575 6.6397
Si 0.0000 0.0000 4.8203
Si -1.2575 1.2575 6.6397
Si 1.2575 1.2575 6.6397

Record 3
6
Lattice="4.0344 0.0000 0.0000 -2.0172 3.4939 0.0000 0.0000 0.0000 8.1171" Properties=species:S:1:pos:R:3 comment="Ce2FeSi3 PBE-GGA relaxed" e_form_raw_mev_per_atom=-573 dft_energy_ev_per_atom=-6.67 e_above_lowest_polymorph_mev_per_atom=81 pbc="T T T"
Ce 0.0000 0.0000 1.9297
Ce 0.0000 0.0000 6.1873
Fe 0.0000 2.3293 0.0000
Si 0.0000 2.3293 4.0585
Si 2.0172 1.1646 0.0000
Si 2.0172 1.1646 4.0585

Record 4
9
Lattice="5.4562 -2.0185 0.0000 5.4562 2.0185 0.0000 -2.4685 0.0000 7.5503" Properties=species:S:1:pos:R:3 comment="Ce3Fe2Si4 PBE-GGA relaxed" e_form_raw_mev_per_atom=-635 dft_energy_ev_per_atom=-6.90 pbc="T T T"
Ce 0.0000 0.0000 0.0000
Ce 3.4533 0.0000 2.4165
Ce 4.9906 0.0000 5.1338
Fe 1.6868 0.0000 4.8230
Fe 6.7570 0.0000 2.7273
Si 0.2826 0.0000 2.9682
Si 0.7790 0.0000 6.9676
Si 7.6648 0.0000 0.5827
Si 8.1612 0.0000 4.5821

Record 5
8
Lattice="1.9839 -8.4248 0.0000 1.9839 8.4248 0.0000 0.0000 0.0000 4.0448" Properties=species:S:1:pos:R:3 comment="CeFeSi2 PBE-GGA relaxed" e_form_raw_mev_per_atom=-642 dft_energy_ev_per_atom=-6.95 pbc="T T T"
Ce 1.9839 6.0106 0.0000
Ce 1.9839 -6.0106 0.0000
Fe 1.9839 1.2392 2.0224
Fe 1.9839 -1.2392 2.0224
Si 0.0000 0.0000 2.0224
Si 1.9839 3.5240 2.0224
Si 1.9839 0.0000 0.0000
Si 1.9839 -3.5240 2.0224

Record 6
11
Lattice="8.7156 -2.5402 0.0000 8.7156 2.5402 0.0000 -2.1377 0.0000 5.8667" Properties=species:S:1:pos:R:3 comment="Ce8FeSi2 PBE-GGA relaxed" e_form_raw_mev_per_atom=-245 dft_energy_ev_per_atom=-6.32 pbc="T T T"
Ce -0.5643 0.0000 1.6323
Ce 2.4148 0.0000 4.0590
Ce 5.7602 0.0000 0.7836
Ce 5.6888 0.0000 4.3022
Ce 9.6047 0.0000 1.5645
Ce 9.5333 0.0000 5.0831
Ce 12.8787 0.0000 1.8076
Ce 15.8578 0.0000 4.2344
Fe 7.6468 0.0000 2.9333
Si 2.5671 0.0000 0.8919
Si 12.7264 0.0000 4.9748

Record 7
4
Lattice="1.4570 0.8412 8.6512 -1.4570 0.8412 8.6512 0.0000 -1.6824 8.6512" Properties=species:S:1:pos:R:3 comment="CeFeSi2 PBE-GGA relaxed" e_form_raw_mev_per_atom=-86 dft_energy_ev_per_atom=-6.40 pbc="T T T"
Ce 0.0000 0.0000 0.0000
Fe 0.0000 0.0000 12.9768
Si 0.0000 0.0000 6.0211
Si 0.0000 0.0000 19.9325

Record 8
4
Lattice="1.5128 0.8734 9.7499 -1.5128 0.8734 9.7499 0.0000 -1.7469 9.7499" Properties=species:S:1:pos:R:3 comment="Ce2FeSi PBE-GGA relaxed" e_form_raw_mev_per_atom=170 dft_energy_ev_per_atom=-6.27 pbc="T T T"
Ce 0.0000 0.0000 2.3256
Ce 0.0000 0.0000 26.9242
Fe 0.0000 0.0000 0.0000
Si 0.0000 0.0000 14.6249